# 1
Computed, not measured: a relaxed TmTlPd3 crystal at the PBE level of DFT.

Cell lengths 4.615, 5.719, 7.637 Å; angles 90.00, 90.14, 90.00 degrees
Sites, in units of the cell vectors:
Tm 0.249 0.250 0.376
Tm 0.751 0.750 0.624
Tl 0.249 0.750 0.048
Tl 0.751 0.250 0.952
Pd 0.250 0.750 0.405
Pd 0.251 0.008 0.737
Pd 0.251 0.492 0.737
Pd 0.749 0.508 0.263
Pd 0.749 0.992 0.263
Pd 0.750 0.250 0.595

energy of formation from the pure elements	-0.65	eV per atom
E_tot	-5.13	eV/atom
Fermi-level density of states	0.360	states/eV/atom


# 2
Computed, not measured: a relaxed MoCl3 crystal at the PBE level of DFT.

Cell lengths 4.730, 4.730, 4.730 Å; angles 60.00, 60.00, 60.00 degrees
Sites, in units of the cell vectors:
Mo 0.000 0.000 0.000
Cl 0.250 0.250 0.250
Cl 0.500 0.500 0.500
Cl 0.750 0.750 0.750

relative energy among the computed polymorphs	1223.1	meV per atom
formation energy without anion corrections	0.366	eV/atom
E_tot	-3.73	eV/atom
Fermi-level density of states	0.594	states/eV/atom


# 3
Computed, not measured: a relaxed LiCu3O4 crystal at the PBE level of DFT.

Cell lengths 6.314, 5.432, 5.260 Å; angles 90.00, 90.00, 90.00 degrees
Sites, in units of the cell vectors:
Li 0.000 0.171 0.000
Li 0.500 0.829 0.500
Cu 0.000 0.841 0.500
Cu 0.246 0.669 0.994
Cu 0.254 0.331 0.494
Cu 0.500 0.159 0.000
Cu 0.746 0.331 0.494
Cu 0.754 0.669 0.994
O 0.000 0.171 0.614
O 0.000 0.824 0.133
O 0.238 0.661 0.632
O 0.262 0.339 0.132
O 0.500 0.176 0.633
O 0.500 0.829 0.114
O 0.738 0.339 0.132
O 0.762 0.661 0.632

relative energy among the computed polymorphs	94.1	meV per atom
formation energy without anion corrections	-0.704	eV/atom
E_tot	-4.96	eV/atom
Fermi-level density of states	0.964	states/eV/atom


# 4
Computed, not measured: a relaxed Mo3AuC crystal at the PBE level of DFT.

Cell lengths 4.841, 4.841, 4.841 Å; angles 90.00, 90.00, 90.00 degrees
Sites, in units of the cell vectors:
Mo 0.000 0.000 0.500
Mo 0.000 0.500 0.000
Mo 0.500 0.000 0.000
Au 0.000 0.000 0.000
C 0.500 0.500 0.500

energy of formation from the pure elements	3.54	eV per atom
relative energy among the computed polymorphs	3394.1	meV per atom
E_tot	-5.45	eV/atom
Fermi-level density of states	1.091	states/eV/atom